K2AcCoF6: optimized geometry, GGA+U.

As for the spin magnetization: 2.063 μB/f.u. Its symmetry is Pmmn (59). For the total energy, the calculation gives -0.3758 Ry per atom.

Cell lengths 6.120, 6.999, 9.026 Å; angles 90.00, 90.00, 90.00 degrees
Fractional coordinates of all 20 atoms:
F: 0.500 0.214 0.254
F: 0.241 0.050 0.000
F: 0.259 0.950 0.500
F: 0.237 0.416 0.500
F: 0.763 0.416 0.500
F: 0.000 0.786 0.246
F: 0.263 0.584 0.000
F: 0.737 0.584 0.000
F: 0.500 0.214 0.746
F: 0.000 0.786 0.754
F: 0.741 0.950 0.500
F: 0.759 0.050 0.000
K: 0.000 0.166 0.293
K: 0.000 0.166 0.707
K: 0.500 0.834 0.793
K: 0.500 0.834 0.207
Co: 0.000 0.802 0.000
Co: 0.500 0.198 0.500
Ac: 0.000 0.686 0.500
Ac: 0.500 0.314 0.000